1.
Entry from Alexandria via LeMat-Bulk: an optimized crystal structure of Ta2Al (GGA-PBE).

Computed properties:
**Calculated total energy**: -9.3181 eV/atom

Unit cell a=7.0053 b=7.0053 c=4.4842 alpha=90.00 beta=90.00 gamma=151.74
Sites, in units of the cell vectors:
Ta1 0.4293 0.5707 0.2500
Ta2 0.5707 0.4293 0.7500
Al1 0.9010 0.0990 0.7500
Al2 0.0990 0.9010 0.2500
Ta3 0.2389 0.7611 0.7500
Ta4 0.7611 0.2389 0.2500

---

2.
Entry from Alexandria via LeMat-Bulk: an optimized crystal structure of TaAl2 (GGA-PBE).

Computed properties:
**Calculated total energy**: -6.6690 eV/atom

Unit cell a=12.7232 b=12.7232 c=12.7232 alpha=162.10 beta=162.10 gamma=25.42
Sites, in units of the cell vectors:
Al1 0.9993 0.4993 0.5000
Ta1 0.1740 0.6740 0.5000
Al2 0.8378 0.3378 0.5000
Al3 0.5878 0.5878 0.0000
Ta2 0.9240 0.9240 0.0000
Al4 0.2507 0.2507 0.0000
Al5 0.4122 0.4122 0.0000
Al6 0.5007 0.0007 0.5000
Al7 0.6622 0.1622 0.5000
Ta3 0.3260 0.8260 0.5000
Al8 0.7493 0.7493 0.0000
Ta4 0.0760 0.0760 0.0000

---

3.
Entry from Alexandria via LeMat-Bulk: an optimized crystal structure of Ta5Al4 (GGA-PBE).

Computed properties:
**Calculated total energy**: -8.4056 eV/atom
**ΔE to the lowest computed polymorph**: 42 meV per atom

Unit cell a=6.7668 b=6.7668 c=6.7668 alpha=94.22 beta=94.22 gamma=148.51
Sites, in units of the cell vectors:
Ta1 0.3299 0.6701 0.0000
Al1 0.6738 0.0000 0.6738
Ta2 0.0000 0.0000 0.0000
Ta3 0.6701 0.3299 0.0000
Al2 0.3262 0.0000 0.3262
Al3 0.0000 0.6738 0.6738
Al4 0.0000 0.3262 0.3262
Ta4 0.3299 0.3299 0.6598
Ta5 0.6701 0.6701 0.3402

---

4.
Entry from Alexandria via LeMat-Bulk: an optimized crystal structure of Ta3Al (GGA-PBE).

Computed properties:
**Calculated total energy**: -9.8118 eV/atom

Unit cell a=2.8173 b=4.7730 c=5.3036 alpha=90.00 beta=90.00 gamma=90.00
Sites, in units of the cell vectors:
Al1 0.0000 0.0000 0.0089
Ta1 0.5000 0.5000 0.8266
Ta2 0.5000 0.0000 0.5237
Ta3 0.0000 0.5000 0.3074

---

5.
Entry from Alexandria via LeMat-Bulk: an optimized crystal structure of TaAl2 (GGA-PBE).

Computed properties:
**Calculated total energy**: -6.5842 eV/atom

Unit cell a=4.5035 b=4.5035 c=2.7858 alpha=90.00 beta=90.00 gamma=120.00
Sites, in units of the cell vectors:
Al1 0.6667 0.3333 0.0000
Al2 0.3333 0.6667 0.0000
Ta1 0.0000 0.0000 0.5000

---

6.
Entry from Alexandria via LeMat-Bulk: an optimized crystal structure of Ta2Al (GGA-PBE).

Computed properties:
**Calculated total energy**: -9.2433 eV/atom

Unit cell a=7.2941 b=7.2941 c=3.4170 alpha=90.00 beta=90.00 gamma=120.00
Sites, in units of the cell vectors:
Al1 0.6667 0.3333 0.0000
Ta1 0.7336 0.7336 0.0000
Ta2 0.6173 0.0000 0.5000
Ta3 0.3827 0.3827 0.5000
Ta4 0.0000 0.2664 0.0000
Ta5 0.2664 0.0000 0.0000
Al2 0.3333 0.6667 0.0000
Al3 0.0000 0.0000 0.5000
Ta6 0.0000 0.6173 0.5000

---

7.
Entry from Alexandria via LeMat-Bulk: an optimized crystal structure of Ta3Al (GGA-PBE).

Computed properties:
**Calculated total energy**: -9.8975 eV/atom

Unit cell a=5.2689 b=5.2689 c=5.2689 alpha=140.37 beta=129.28 gamma=66.22
Sites, in units of the cell vectors:
Ta1 0.7547 0.7547 0.0000
Ta2 0.2453 0.2453 0.0000
Ta3 0.0000 0.5000 0.5000
Al1 0.5000 0.0000 0.5000

---

8.
Entry from Alexandria via LeMat-Bulk: an optimized crystal structure of Ta5Al4 (GGA-PBE).

Computed properties:
**Calculated total energy**: -8.4472 eV/atom
**ΔE to the lowest computed polymorph**: 0 meV per atom

Unit cell a=8.0086 b=8.0086 c=5.4793 alpha=90.00 beta=90.00 gamma=120.00
Sites, in units of the cell vectors:
Al1 0.6154 0.6154 0.2500
Ta1 0.3333 0.6667 0.0000
Al2 0.0000 0.0000 0.0000
Ta2 0.6667 0.3333 0.5000
Al3 0.0000 0.3846 0.2500
Ta3 0.7185 0.7185 0.7500
Al4 0.3846 0.3846 0.7500
Ta4 0.3333 0.6667 0.5000
Ta5 0.2815 0.2815 0.2500
Ta6 0.0000 0.7185 0.2500
Ta7 0.2815 0.0000 0.7500
Al5 0.6154 0.0000 0.7500
Al6 0.0000 0.0000 0.5000
Ta8 0.0000 0.2815 0.7500
Ta9 0.6667 0.3333 0.0000
Ta10 0.7185 0.0000 0.2500
Al7 0.0000 0.6154 0.7500
Al8 0.3846 0.0000 0.2500

---

9.
Entry from Alexandria via LeMat-Bulk: an optimized crystal structure of Ta3Al (GGA-PBE).

Computed properties:
**Calculated total energy**: -9.8548 eV/atom

Unit cell a=5.0792 b=5.0793 c=5.0778 alpha=80.14 beta=80.14 gamma=33.63
Sites, in units of the cell vectors:
Ta1 0.7430 0.7430 0.7607
Al1 0.0000 0.0000 0.0000
Ta2 0.2570 0.2570 0.2393
Ta3 0.5000 0.5000 0.5000

---

10.
Entry from Alexandria via LeMat-Bulk: an optimized crystal structure of TaAl (GGA-PBE).

Computed properties:
**Calculated total energy**: -7.7748 eV/atom

Unit cell a=9.6636 b=9.6636 c=9.6636 alpha=17.38 beta=17.38 gamma=17.38
Sites, in units of the cell vectors:
Ta1 0.4966 0.4966 0.4966
Ta2 0.2534 0.2534 0.2534
Al1 0.7488 0.7488 0.7488
Al2 0.0012 0.0012 0.0012

---

11.
Entry from Alexandria via LeMat-Bulk: an optimized crystal structure of TaAl (GGA-PBE).

Computed properties:
**Calculated total energy**: -7.5970 eV/atom

Unit cell a=4.4337 b=4.4337 c=8.3528 alpha=90.00 beta=90.00 gamma=120.00
Sites, in units of the cell vectors:
Al1 0.6667 0.3333 0.2500
Al2 0.0000 0.0000 0.7500
Ta1 0.3333 0.6667 0.0797
Al3 0.3333 0.6667 0.7500
Ta2 0.6667 0.3333 0.9203
Ta3 0.6667 0.3333 0.5797
Al4 0.0000 0.0000 0.2500
Ta4 0.3333 0.6667 0.4203

---

12.
Entry from Alexandria via LeMat-Bulk: an optimized crystal structure of Ta2Al3 (GGA-PBE).

Computed properties:
**Calculated total energy**: -7.2185 eV/atom

Unit cell a=3.6950 b=5.1444 c=5.0614 alpha=85.88 beta=68.59 gamma=68.95
Sites, in units of the cell vectors:
Al1 0.5000 0.0000 0.0000
Ta1 0.7162 0.3789 0.1888
Al2 0.9026 0.7948 0.4000
Al3 0.0974 0.2052 0.6000
Ta2 0.2838 0.6211 0.8112

---

13.
Entry from Alexandria via LeMat-Bulk: an optimized crystal structure of TaAl (GGA-PBE).

Computed properties:
**Calculated total energy**: -7.9897 eV/atom

Unit cell a=2.9419 b=2.9419 c=9.2312 alpha=90.00 beta=90.00 gamma=120.00
Sites, in units of the cell vectors:
Ta1 0.0000 0.0000 0.5000
Al1 0.6667 0.3333 0.7500
Al2 0.3333 0.6667 0.2500
Ta2 0.0000 0.0000 0.0000

---

14.
Entry from Alexandria via LeMat-Bulk: an optimized crystal structure of TaAl (GGA-PBE).

Computed properties:
**Calculated total energy**: -8.0160 eV/atom

Unit cell a=5.6872 b=5.0286 c=9.4850 alpha=90.00 beta=90.00 gamma=90.00
Sites, in units of the cell vectors:
Al1 0.8731 0.9236 0.7396
Ta1 0.3720 0.2749 0.0121
Ta2 0.6256 0.4246 0.7294
Ta3 0.1257 0.0754 0.2706
Al2 0.1357 0.7622 0.0112
Al3 0.6357 0.7378 0.9888
Al4 0.1269 0.4236 0.7604
Al5 0.3731 0.5764 0.2604
Ta4 0.6280 0.7749 0.4879
Ta5 0.3744 0.9246 0.7706
Al6 0.8643 0.2622 0.4888
Ta6 0.8744 0.5754 0.2294
Ta7 0.1280 0.7251 0.5121
Al7 0.6269 0.0764 0.2396
Al8 0.3643 0.2378 0.5112
Ta8 0.8720 0.2251 0.9879

---

15.
Entry from Alexandria via LeMat-Bulk: an optimized crystal structure of TaAl (GGA-PBE).

Computed properties:
**Calculated total energy**: -6.3977 eV/atom

Unit cell a=8.3309 b=8.3309 c=8.3309 alpha=90.00 beta=90.00 gamma=90.00
Sites, in units of the cell vectors:
Ta1 0.8858 0.1142 0.1142
Ta2 0.6142 0.6142 0.3858
Al1 0.3036 0.6964 0.3036
Ta3 0.8858 0.8858 0.8858
Al2 0.1964 0.8036 0.8036
Ta4 0.3858 0.6142 0.6142
Ta5 0.1142 0.1142 0.8858
Al3 0.6964 0.6964 0.6964
Al4 0.8036 0.1964 0.8036
Ta6 0.3858 0.3858 0.3858
Al5 0.3036 0.3036 0.6964
Al6 0.6964 0.3036 0.3036
Al7 0.8036 0.8036 0.1964
Ta7 0.6142 0.3858 0.6142
Ta8 0.1142 0.8858 0.1142
Al8 0.1964 0.1964 0.1964

---

16.
Entry from Alexandria via LeMat-Bulk: an optimized crystal structure of TaAl (GGA-PBE).

Computed properties:
**Calculated total energy**: -7.8252 eV/atom

Unit cell a=3.4642 b=3.4642 c=2.8135 alpha=90.00 beta=90.00 gamma=90.00
Sites, in units of the cell vectors:
Ta1 0.5000 0.5000 0.0000
Al1 0.0000 0.0000 0.5000

---

17.
Entry from Alexandria via LeMat-Bulk: an optimized crystal structure of TaAl (GGA-PBE).

Computed properties:
**Calculated total energy**: -7.8157 eV/atom

Unit cell a=2.9266 b=2.9266 c=9.3649 alpha=90.00 beta=90.00 gamma=120.00
Sites, in units of the cell vectors:
Al1 0.6667 0.3333 0.2448
Ta1 0.0000 0.0000 0.4891
Al2 0.0000 0.0000 0.0052
Ta2 0.6667 0.3333 0.7609

---

18.
Entry from Alexandria via LeMat-Bulk: an optimized crystal structure of TaAl (GGA-PBE).

Computed properties:
**Calculated total energy**: -7.9446 eV/atom

Unit cell a=14.3086 b=2.8342 c=4.9918 alpha=90.00 beta=90.00 gamma=90.00
Sites, in units of the cell vectors:
Ta1 0.5000 0.9416 0.1026
Ta2 0.1727 0.9629 0.3204
Al1 0.0000 0.5300 0.1186
Al2 0.6569 0.4959 0.3200
Al3 0.8431 0.5041 0.8200
Ta3 0.3273 0.0371 0.8204
Al4 0.5000 0.4700 0.6186
Ta4 0.6727 0.0371 0.8204
Al5 0.3431 0.4959 0.3200
Ta5 0.8273 0.9629 0.3204
Ta6 0.0000 0.0584 0.6026
Al6 0.1569 0.5041 0.8200

---

19.
Entry from Alexandria via LeMat-Bulk: an optimized crystal structure of Ta5Al3 (GGA-PBE).

Computed properties:
**Calculated total energy**: -9.0085 eV/atom
**ΔE to the lowest computed polymorph**: 22 meV per atom

Unit cell a=6.1388 b=6.1388 c=3.6579 alpha=90.00 beta=90.00 gamma=90.96
Sites, in units of the cell vectors:
Al1 0.2484 0.7516 0.5000
Ta1 0.5000 0.0000 0.0000
Ta2 0.7435 0.7435 0.5000
Ta3 0.0000 0.0000 0.0000
Al2 0.7516 0.2484 0.5000
Ta4 0.0000 0.5000 0.0000
Ta5 0.2565 0.2565 0.5000
Al3 0.5000 0.5000 0.0000

---

20.
Entry from Alexandria via LeMat-Bulk: an optimized crystal structure of Ta3Al (GGA-PBE).

Computed properties:
**Calculated total energy**: -9.8874 eV/atom

Unit cell a=9.4612 b=9.4612 c=9.4612 alpha=155.87 beta=155.87 gamma=34.39
Sites, in units of the cell vectors:
Ta1 0.5000 0.0000 0.5000
Ta2 0.8758 0.8758 0.0000
Ta3 0.2500 0.7500 0.5000
Ta4 0.1242 0.1242 0.0000
Al1 0.6248 0.6248 0.0000
Ta5 0.7500 0.2500 0.5000
Ta6 0.0000 0.5000 0.5000
Al2 0.3752 0.3752 0.0000

---

21.
Entry from Alexandria via LeMat-Bulk: an optimized crystal structure of TaAl2 (GGA-PBE).

Computed properties:
**Calculated total energy**: -6.5289 eV/atom

Unit cell a=6.6570 b=6.6570 c=6.6570 alpha=155.62 beta=155.62 gamma=34.75
Sites, in units of the cell vectors:
Al1 0.6653 0.6653 0.0000
Ta1 0.0000 0.0000 0.0000
Al2 0.3347 0.3347 0.0000

---

22.
Entry from Alexandria via LeMat-Bulk: an optimized crystal structure of TaAl (GGA-PBE).

Computed properties:
**Calculated total energy**: -7.4166 eV/atom

Unit cell a=7.3886 b=7.3886 c=5.3179 alpha=90.00 beta=90.00 gamma=90.00
Sites, in units of the cell vectors:
Al1 0.5785 0.2695 0.0000
Al2 0.2305 0.0785 0.5000
Al3 0.0785 0.7695 0.5000
Ta1 0.7184 0.9409 0.0000
Ta2 0.0591 0.7184 0.0000
Al4 0.7305 0.5785 0.0000
Ta3 0.2816 0.0591 0.0000
Ta4 0.7816 0.5591 0.5000
Al5 0.4215 0.7305 0.0000
Ta5 0.5591 0.2184 0.5000
Al6 0.9215 0.2305 0.5000
Al7 0.2695 0.4215 0.0000
Al8 0.7695 0.9215 0.5000
Ta6 0.9409 0.2816 0.0000
Ta7 0.4409 0.7816 0.5000
Ta8 0.2184 0.4409 0.5000

---

23.
Entry from Alexandria via LeMat-Bulk: an optimized crystal structure of TaAl (GGA-PBE).

Computed properties:
**Calculated total energy**: -7.5534 eV/atom

Unit cell a=6.8923 b=7.9063 c=10.4633 alpha=90.00 beta=90.00 gamma=90.00
Sites, in units of the cell vectors:
Al1 0.9279 0.7500 0.7500
Ta1 0.7500 0.9330 0.2500
Ta2 0.0000 0.8171 0.5000
Ta3 0.7500 0.0670 0.7500
Al2 0.3221 0.5000 0.0000
Al3 0.9279 0.2500 0.2500
Ta4 0.5000 0.6829 0.5000
Al4 0.6779 0.5000 0.0000
Al5 0.5721 0.2500 0.2500
Ta5 0.2500 0.0670 0.2500
Al6 0.4279 0.2500 0.7500
Ta6 0.5000 0.3170 0.5000
Ta7 0.2500 0.5671 0.7500
Al7 0.3221 0.0000 0.5000
Al8 0.4279 0.7500 0.2500
Ta8 0.5000 0.8171 0.0000
Al9 0.5721 0.7500 0.7500
Al10 0.8221 0.5000 0.5000
Al11 0.1779 0.0000 0.0000
Al12 0.6779 0.0000 0.5000
Ta9 0.7500 0.4330 0.7500
Ta10 0.7500 0.5671 0.2500
Ta11 0.2500 0.4330 0.2500
Al13 0.0721 0.7500 0.2500
Al14 0.0721 0.2500 0.7500
Ta12 0.0000 0.3170 0.0000
Al15 0.8221 0.0000 0.0000
Al16 0.1779 0.5000 0.5000
Ta13 0.5000 0.1830 0.0000
Ta14 0.0000 0.6829 0.0000
Ta15 0.0000 0.1830 0.5000
Ta16 0.2500 0.9330 0.7500